[1]
A relaxed AlInSb2 crystal, computed with PBE-GGA.

```
data_AlInSb2
_cell_length_a 6.427
_cell_length_b 6.427
_cell_length_c 7.854
_cell_angle_alpha 65.85
_cell_angle_beta 65.85
_cell_angle_gamma 90.00
_space_group_name_H-M_alt 'P 1'
_space_group_IT_number 1
_space_group_name_Hall 'P 1'
loop_
_atom_site_label
_atom_site_fract_x
_atom_site_fract_y
_atom_site_fract_z
Sb1 0.603 0.125 0.250
Sb2 0.375 0.397 0.750
Sb3 0.875 0.853 0.750
Sb4 0.147 0.625 0.250
Al1 0.500 0.500 0.000
Al2 0.250 0.750 0.500
In1 0.750 0.250 0.500
In2 0.000 0.000 0.000
```

Summary:
offset from the most stable computed form	0.0	meV per atom
density	4.836	g cm⁻³



[2]
A relaxed Al2InSb2 crystal, computed with PBE-GGA.

```
data_Al2InSb2
_cell_length_a 4.259
_cell_length_b 4.259
_cell_length_c 8.058
_cell_angle_alpha 74.67
_cell_angle_beta 74.67
_cell_angle_gamma 90.00
_space_group_name_H-M_alt 'P 1'
_space_group_IT_number 1
_space_group_name_Hall 'P 1'
loop_
_atom_site_label
_atom_site_fract_x
_atom_site_fract_y
_atom_site_fract_z
Sb1 0.373 0.373 0.255
Sb2 0.627 0.627 0.745
In1 0.000 0.000 0.000
Al1 0.750 0.250 0.500
Al2 0.250 0.750 0.500
```

Summary:
offset from the most stable computed form	0.0	meV per atom
density	5.050	g cm⁻³